Record 1
{"formula": "NbV4In", "functional": "PBE", "state": "optimized geometry", "lattice_angstrom": [[0.0000, 3.6038, 3.6038], [3.6038, 0.0000, 3.6038], [3.6038, 3.6038, 0.0000]], "species": ["Nb", "V", "V", "V", "V", "In"], "fractional_positions": [[0.0000, 0.0000, 0.0000], [0.1158, 0.6280, 0.6280], [0.6280, 0.1158, 0.6280], [0.6280, 0.6280, 0.1158], [0.6280, 0.6280, 0.6280], [0.2500, 0.2500, 0.2500]], "e_form_kj_per_mol_fu": 35.5, "final_energy_ev_per_atom": -8.15}

***

Record 2
{"formula": "NbVIn", "functional": "PBE", "state": "optimized geometry", "lattice_angstrom": [[-1.6801, 1.6801, 4.7933], [1.6801, -1.6801, 4.7933], [1.6801, 1.6801, -4.7933]], "species": ["Nb", "V", "In"], "fractional_positions": [[0.0000, 0.0000, 0.0000], [0.6255, 0.6255, 0.0000], [0.3074, 0.3074, 0.0000]], "e_form_kj_per_mol_fu": 17.8, "polymorph_energy_ev_per_atom": 0.000, "final_energy_ev_per_atom": -7.25}

***

Record 3
{"formula": "NbV6In", "functional": "PBE", "state": "optimized geometry", "lattice_angstrom": [[4.7589, 0.0000, 0.0000], [1.5341, 5.1702, 0.0000], [0.7576, 2.5784, 4.9985]], "species": ["Nb", "V", "V", "V", "V", "V", "V", "In"], "fractional_positions": [[0.0000, 0.0000, 0.0000], [0.9999, 0.4789, 0.0433], [0.0183, 0.4885, 0.4868], [0.4853, 0.1361, 0.2520], [0.4996, 0.1363, 0.7328], [0.5146, 0.6170, 0.2520], [0.9808, 0.0281, 0.4853], [0.4992, 0.6291, 0.7471]], "e_form_kj_per_mol_fu": 146.6, "final_energy_ev_per_atom": -8.25}

***

Record 4
{"formula": "NbVIn", "functional": "PBE", "state": "optimized geometry", "lattice_angstrom": [[1.5815, 0.9131, 13.2593], [-1.5815, 0.9131, 13.2593], [0.0000, -1.8262, 13.2593]], "species": ["Nb", "Nb", "V", "V", "In", "In"], "fractional_positions": [[0.0978, 0.0978, 0.0978], [0.9022, 0.9022, 0.9022], [0.1883, 0.1883, 0.1883], [0.8117, 0.8117, 0.8117], [0.3687, 0.3687, 0.3687], [0.6313, 0.6313, 0.6313]], "e_form_kj_per_mol_fu": 84.2, "polymorph_energy_ev_per_atom": 0.230, "final_energy_ev_per_atom": -7.02}

***

Record 5
{"formula": "Nb4V2In", "functional": "PBE", "state": "optimized geometry", "lattice_angstrom": [[1.7771, -10.6825, 0.0000], [1.7771, 10.6825, 0.0000], [0.0000, 0.0000, 3.2735]], "species": ["Nb", "Nb", "Nb", "Nb", "V", "V", "In"], "fractional_positions": [[0.0804, 0.9196, 0.0000], [0.3467, 0.6533, 0.5000], [0.6533, 0.3467, 0.5000], [0.9196, 0.0804, 0.0000], [0.2119, 0.7881, 0.0000], [0.7881, 0.2119, 0.0000], [0.5000, 0.5000, 0.5000]], "e_form_kj_per_mol_fu": 113.9, "final_energy_ev_per_atom": -8.58}

***

Record 6
{"formula": "NbVZnIn2", "functional": "PBE", "state": "optimized geometry", "lattice_angstrom": [[4.7819, 0.0000, 0.0000], [0.0000, 4.7819, 0.0000], [0.0000, 0.0000, 4.9099]], "species": ["Nb", "V", "Zn", "In", "In"], "fractional_positions": [[0.0000, 0.0000, 0.0000], [0.5000, 0.5000, 0.0000], [0.0000, 0.0000, 0.5000], [0.0000, 0.5000, 0.5000], [0.5000, 0.0000, 0.5000]], "e_form_kj_per_mol_fu": 583.0, "final_energy_ev_per_atom": -3.98}

***

> What is the formula in the second record?

NbVIn